{
  "formula": "Co2AgBr",
  "functional": "SCAN",
  "state": "single point on PBEsol structure",
  "raw_formation_energy_kj_per_mol_atoms": 79.5,
  "e_above_lowest_polymorph_mev_per_atom": 233,
  "lattice": [[5.4496, -0.0891, 0.0000], [-2.6682, 4.7525, 0.0000], [-1.3907, -2.3317, 4.7260]],
  "species": ["Co", "Co", "Co", "Co", "Ag", "Ag", "Br", "Br"],
  "frac_coords": [[0.6250, 0.1618, 0.0368], [0.1250, 0.5882, 0.9632], [0.4118, 0.3750, 0.5368], [0.8382, 0.8750, 0.4632], [0.2500, 0.7500, 0.5000], [0.0000, 0.0000, 0.0000], [0.7500, 0.2500, 0.5000], [0.5000, 0.5000, 0.0000]]
}